The following is a DFT calculation (PBE with a Hubbard U) of a geometry-optimized Na2VOsO6 structure.

abc: 5.417 5.417 3.820
angles: 90.00 90.00 90.00
Fractional positions:
1 Na 0.000 0.500 0.000
2 Na 0.500 0.000 0.000
3 V 0.000 0.000 0.483
4 Os 0.500 0.500 0.515
5 O 0.000 0.000 0.017
6 O 0.247 0.247 0.515
7 O 0.247 0.753 0.515
8 O 0.500 0.500 0.015
9 O 0.753 0.247 0.515
10 O 0.753 0.753 0.515

**Magnetization**: 0.002 μB/cell
**N(E_F)**: 2.3 states/eV/cell
**Crystal system**: tetragonal
**VASP energy**: -6.6693 eV per atom